A plane-wave DFT calculation with PBE was carried out for a geometry-optimized ZrPb2Se structure.

abc: 4.3183 5.5877 8.4905
angles: 90.00 90.00 90.00
With the nearest neighbours (Å) after each atom.
Space group Cmmm (No. 65)
Symmetry-distinct sites (fractional):
Zr: 0.0000 0.0000 0.0000 x2  4 Pb 3.08
Pb: 0.0000 0.5000 0.2590 x4  2 Se 2.97, 2 Zr 3.08
Se: 0.0000 0.0000 0.5000 x2  4 Pb 2.97

Summary:
For the uncorrected energy, the calculation gives -38.1 eV/cell.

=====

A plane-wave DFT calculation with PBE was carried out for a geometry-optimized TbNiPt structure.

abc: 4.2290 4.2290 3.7298
angles: 90.00 90.00 120.00
With the nearest neighbours (Å) after each atom.
Space group P-6m2 (No. 187)
Symmetry-distinct sites (fractional):
Tb: 0.0000 0.0000 0.0000 x1  6 Pt 3.07, 6 Ni 3.07
Ni: 0.6667 0.3333 0.5000 x1  3 Pt 2.44
Pt: 0.3333 0.6667 0.5000 x1  3 Ni 2.44

Summary:
The value obtained for the formation energy is -2.35 eV per formula unit.

=====

A plane-wave DFT calculation with PBE was carried out for a geometry-optimized Cr2PN structure.

abc: 3.7587 3.7587 15.1577
angles: 90.00 90.00 120.00
With the nearest neighbours (Å) after each atom.
Space group R-3m (No. 166, hexagonal axes)
Symmetry-distinct sites (fractional):
Cr: 0.0000 0.0000 0.1130 x6  1 N 1.71
P: 0.0000 0.0000 0.5000 x3  6 Cr 2.32
N: 0.0000 0.0000 0.0000 x3  2 Cr 1.71

Summary:
As for the energy above the most stable polymorph in this dataset: 207 meV per atom.

=====

A plane-wave DFT calculation with PBE was carried out for a geometry-optimized Sm3ErSb4 structure.

abc: 8.8827 12.5641 4.4447
angles: 90.00 90.00 90.00
With the nearest neighbours (Å) after each atom.
Space group Cmmm (No. 65)
Symmetry-distinct sites (fractional):
Sm: 0.0000 0.0000 0.0000 x2  6 Sb 3.17
Sm: 0.2500 0.2500 0.5000 x4  6 Sb 3.14
Er: 0.0000 0.5000 0.0000 x2  6 Sb 3.11
Sb: 0.0000 0.2527 0.0000 x4  1 Er 3.11, 5 Sm 3.14-3.17
Sb: 0.2448 0.5000 0.5000 x4  2 Er 3.11, 4 Sm 3.14-3.17

Summary:
For the uncorrected energy, the calculation gives -88.9 eV/cell.

=====

A plane-wave DFT calculation with PBE was carried out for a geometry-optimized CeSmZrN3 structure.

abc: 5.6559 3.3463 9.5064
angles: 90.00 91.15 90.00
With the nearest neighbours (Å) after each atom.
Space group P2_1/m (No. 11)
Symmetry-distinct sites (fractional):
Ce: 0.2326 0.2500 0.1150 x2  2 N 2.31
Sm: 0.2564 0.2500 0.7498 x2  6 N 2.46-2.52
Zr: 0.2486 0.7500 0.4489 x2  6 N 2.31-2.32
N: 0.0048 0.2500 0.3632 x2  3 Zr 2.31, 2 Sm 2.46
N: 0.2310 0.7500 0.9474 x2  2 Ce 2.31, 2 Sm 2.52
N: 0.4867 0.2500 0.3617 x2  3 Zr 2.31-2.32, 2 Sm 2.47

Summary:
For the uncorrected energy, the calculation gives -104.8 eV/cell.

=====

A plane-wave DFT calculation with PBE was carried out for a geometry-optimized Cu2NiN structure.

abc: 4.4220 4.4220 11.2091
angles: 90.00 90.00 90.00
With the nearest neighbours (Å) after each atom.
Space group I-42d (No. 122)
Symmetry-distinct sites (fractional):
Cu: 0.1002 0.2500 0.1250 x8  2 N 1.84
Ni: 0.0000 0.0000 0.5000 x4  4 Cu 2.51
N: 0.0000 0.0000 0.0000 x4  4 Cu 1.84

Summary:
For the uncorrected energy, the calculation gives -75.1 eV/cell.

=====

A plane-wave DFT calculation with PBE was carried out for a geometry-optimized SmEu2Cl structure.

abc: 3.8106 3.8106 31.6732
angles: 90.00 90.00 120.00
With the nearest neighbours (Å) after each atom.
Space group R-3m (No. 166, hexagonal axes)
Symmetry-distinct sites (fractional):
Sm: 0.0000 0.0000 0.0000 x3  6 Eu 3.79, 6 Sm 3.81
Eu: 0.0000 0.0000 0.2358 x6  3 Cl 3.10
Cl: 0.0000 0.0000 0.5000 x3  6 Eu 3.10

Summary:
For the uncorrected energy, the calculation gives -90.8 eV/cell.

=====

A plane-wave DFT calculation with PBE was carried out for a geometry-optimized Pm2Si2Sn structure.

abc: 3.8799 14.4007 4.2445
angles: 90.00 90.00 90.00
With the nearest neighbours (Å) after each atom.
Space group Cmmm (No. 65)
Symmetry-distinct sites (fractional):
Pm: 0.0000 0.1343 0.0000 x4  6 Si 3.03-3.18
Si: 0.0000 0.2988 0.5000 x4  2 Si 2.40
Sn: 0.0000 0.5000 0.5000 x2  2 Si 2.90

Summary:
As for the energy above the most stable polymorph in this dataset: 0 meV per atom.

=====

A plane-wave DFT calculation with PBE was carried out for a geometry-optimized DyMn6GaGe5 structure.

abc: 5.1503 5.1503 8.1969
angles: 90.00 90.00 120.00
With the nearest neighbours (Å) after each atom.
Space group P-6m2 (No. 187)
Symmetry-distinct sites (fractional):
Dy: 0.0000 0.0000 0.0000 x1  8 Ge 2.82-2.97
Mn: 0.0008 0.5004 0.2480 x6  5 Ge 2.52-2.69, 1 Ga 2.55, 4 Mn 2.57-2.58
Ga: 0.6667 0.3333 0.5000 x1  6 Mn 2.55
Ge: 0.0000 0.0000 0.3440 x2  1 Ge 2.56, 6 Mn 2.69, 1 Dy 2.82
Ge: 0.3333 0.6667 0.0000 x1  6 Mn 2.52
Ge: 0.3333 0.6667 0.5000 x1  6 Mn 2.54
Ge: 0.6667 0.3333 0.0000 x1  6 Mn 2.52

Summary:
The value obtained for the formation energy is -3.92 eV per formula unit.

=====

A plane-wave DFT calculation with PBE was carried out for a geometry-optimized SrRu2Se structure.

abc: 4.2778 4.2778 16.6191
angles: 90.00 90.00 120.00
With the nearest neighbours (Å) after each atom.
Space group R3m (No. 160, hexagonal axes)
Symmetry-distinct sites (fractional):
Sr: 0.0000 0.0000 0.0000 x3  4 Se 3.26-3.42, 7 Ru 3.29-3.38
Ru: 0.0000 0.0000 0.1981 x3  3 Ru 2.47, 3 Se 2.73
Ru: 0.0000 0.0000 0.5278 x3  3 Ru 2.47, 3 Se 2.71
Se: 0.0000 0.0000 0.7943 x3  6 Ru 2.71-2.73

Summary:
For the uncorrected energy, the calculation gives -73.2 eV/cell.

=====

A plane-wave DFT calculation with PBE was carried out for a geometry-optimized CaPRh structure.

abc: 6.1709 6.1709 6.1709
angles: 90.00 90.00 90.00
With the nearest neighbours (Å) after each atom.
Space group F-43m (No. 216)
Symmetry-distinct sites (fractional):
Ca: 0.0000 0.0000 0.0000 x4  4 P 2.67
P: 0.2500 0.2500 0.2500 x4  4 Ca 2.67, 4 Rh 2.67
Rh: 0.0000 0.0000 0.5000 x4  4 P 2.67

Summary:
The value obtained for the formation energy is -1.39 eV per formula unit.

=====

A plane-wave DFT calculation with PBE was carried out for a geometry-optimized ScMo2Ir structure.

abc: 2.7945 2.7945 8.5794
angles: 90.00 90.00 90.00
With the nearest neighbours (Å) after each atom.
Space group P4/mmm (No. 123)
Symmetry-distinct sites (fractional):
Sc: 0.0000 0.0000 0.0000 x1  4 Sc 2.79, 8 Mo 3.08
Mo: 0.5000 0.5000 0.2749 x2  4 Ir 2.76, 4 Mo 2.79, 4 Sc 3.08
Ir: 0.0000 0.0000 0.5000 x1  8 Mo 2.76, 4 Ir 2.79

Summary:
As for the energy above the most stable polymorph in this dataset: 263 meV per atom. The value obtained for the formation energy is 0.00 eV per formula unit.

=====

A plane-wave DFT calculation with PBE was carried out for a geometry-optimized SnS2O6F2 structure.

abc: 5.5125 9.7854 14.1925
angles: 90.00 110.26 90.00
With the nearest neighbours (Å) after each atom.
Space group P2_1/c (No. 14)
Symmetry-distinct sites (fractional):
Sn: 0.0315 0.1953 0.1754 x4  4 O 2.35-2.48
S: 0.1689 0.1851 0.9362 x4  3 O 1.44-1.46, 1 F 1.61
S: 0.4718 0.0229 0.6928 x4  3 O 1.44-1.47, 1 F 1.59
O: 0.0433 0.0553 0.9039 x4  1 S 1.44
O: 0.1214 0.2099 0.3590 x4  1 S 1.46
O: 0.1556 0.2383 0.0304 x4  1 S 1.46
O: 0.2725 0.0996 0.7169 x4  1 S 1.47
O: 0.3266 0.6007 0.8245 x4  1 S 1.44
O: 0.4432 0.0954 0.2394 x4  1 S 1.47
F: 0.3168 0.5464 0.0876 x4  1 S 1.59
F: 0.4730 0.1524 0.9648 x4  1 S 1.61

Summary:
For the uncorrected energy, the calculation gives -248.2 eV/cell.

=====

A plane-wave DFT calculation with PBE was carried out for a geometry-optimized Ag2H3Pd10 structure.

abc: 19.1974 5.7056 7.7499
angles: 90.00 111.98 90.00
With the nearest neighbours (Å) after each atom.
Space group C2/m (No. 12)
Symmetry-distinct sites (fractional):
Ag: 0.1247 0.0000 0.2507 x4  12 Pd 2.82-2.87
Ag: 0.2364 0.0000 0.8071 x4  12 Pd 2.84-2.88
H: 0.0000 0.2321 0.5000 x4  6 Pd 1.96-2.12
H: 0.1207 0.5000 0.7896 x4  3 Pd 1.85-1.91
H: 0.1808 0.5000 0.5099 x4  6 Pd 1.92-2.14
Pd: 0.0000 0.2507 0.0000 x4  10 Pd 2.82-2.86, 2 Ag 2.84
Pd: 0.0133 0.5000 0.6993 x4  3 H 1.91-2.12
Pd: 0.0141 0.0000 0.6964 x4  2 H 1.96
Pd: 0.1115 0.2500 0.5560 x8  3 H 2.02-2.26
Pd: 0.1237 0.5000 0.2471 x4  1 H 1.92
Pd: 0.1379 0.2463 0.9485 x8  1 H 1.85
Pd: 0.2360 0.5000 0.8068 x4  2 H 2.14-2.17
Pd: 0.2500 0.2500 0.5000 x4  2 H 1.97

Summary:
For the uncorrected energy, the calculation gives -273.0 eV/cell.

=====

A plane-wave DFT calculation with PBE was carried out for a geometry-optimized GaMoPt structure.

abc: 9.7837 3.4344 5.8258
angles: 90.00 109.16 90.00
With the nearest neighbours (Å) after each atom.
Space group C2/m (No. 12)
Symmetry-distinct sites (fractional):
Ga: 0.0000 0.0000 0.0000 x2  4 Pt 2.62, 4 Mo 2.77, 2 Ga 2.91
Ga: 0.0000 0.0000 0.5000 x2  4 Pt 2.62, 4 Mo 2.81, 2 Ga 2.91
Mo: 0.1780 0.5000 0.3411 x4  2 Mo 2.58, 4 Ga 2.77-2.81, 2 Pt 2.84
Pt: 0.1455 0.5000 0.8300 x4  4 Ga 2.62, 3 Mo 2.84-2.89, 2 Pt 2.90

Summary:
The value obtained for the formation energy is -0.89 eV per formula unit.

=====

A plane-wave DFT calculation with PBE was carried out for a geometry-optimized CoP2Pt structure.

abc: 2.7383 3.4721 11.5936
angles: 90.00 90.00 90.00
With the nearest neighbours (Å) after each atom.
Space group Imm2 (No. 44)
Symmetry-distinct sites (fractional):
Co: 0.0000 0.0000 0.0000 x2  6 P 2.31-2.32
P: 0.0000 0.0000 0.4397 x2  4 Co 2.32, 2 Pt 2.50
P: 0.0000 0.5000 0.6610 x2  2 Co 2.31
Pt: 0.0000 0.5000 0.2845 x2  6 P 2.50-2.63, 2 Pt 2.74

Summary:
As for the energy above the most stable polymorph in this dataset: 232 meV per atom. The value obtained for the formation energy is -0.67 eV per formula unit.

=====

A plane-wave DFT calculation with PBE was carried out for a geometry-optimized CsCrPtW2 structure.

abc: 4.8970 4.8970 4.6003
angles: 90.00 90.00 90.00
With the nearest neighbours (Å) after each atom.
Space group P4/mmm (No. 123)
Symmetry-distinct sites (fractional):
Cs: 0.0000 0.0000 0.0000 x1  2 Cr 2.30, 4 W 2.45
Cr: 0.0000 0.0000 0.5000 x1  2 Cs 2.30
Pt: 0.5000 0.5000 0.5000 x1  8 W 3.36, 4 Cr 3.46
W: 0.0000 0.5000 0.0000 x2  2 Cs 2.45

Summary:
The value obtained for the formation energy is 17.65 eV per formula unit.

=====

A plane-wave DFT calculation with PBE was carried out for a geometry-optimized MnAgHg structure.

abc: 4.6643 4.6643 2.9504
angles: 90.00 90.00 120.00
With the nearest neighbours (Å) after each atom.
Space group P3m1 (No. 156)
Symmetry-distinct sites (fractional):
Mn: 0.0000 0.0000 0.0000 x1  3 Hg 2.88, 3 Ag 2.89, 2 Mn 2.95
Ag: 0.6667 0.3333 0.3512 x1  3 Hg 2.84, 3 Mn 2.89, 2 Ag 2.95
Hg: 0.3333 0.6667 0.6543 x1  3 Ag 2.84, 3 Mn 2.88, 2 Hg 2.95

Summary:
As for the energy above the most stable polymorph in this dataset: 77 meV per atom. The value obtained for the formation energy is 0.93 eV per formula unit.

=====

A plane-wave DFT calculation with PBE was carried out for a geometry-optimized OsI3Br structure.

abc: 7.8519 7.8572 8.0704
angles: 111.04 99.13 117.81
With the nearest neighbours (Å) after each atom.
Space group P-1 (No. 2)
Symmetry-distinct sites (fractional):
Os: 0.2499 0.2453 0.4953 x2  1 Br 2.48, 5 I 2.63-2.72
I: 0.1757 0.9900 0.6652 x2  2 Os 2.72
I: 0.2459 0.9542 0.1989 x2  1 Os 2.63
I: 0.3251 0.5107 0.3348 x2  2 Os 2.72
Br: 0.2519 0.5191 0.7721 x2  1 Os 2.48

Summary:
As for the energy above the most stable polymorph in this dataset: 0 meV per atom.

=====

A plane-wave DFT calculation with PBE was carried out for a geometry-optimized KCdAs2 structure.

abc: 4.2785 5.0024 9.0715
angles: 90.00 90.00 90.00
With the nearest neighbours (Å) after each atom.
Space group Cmmm (No. 65)
Symmetry-distinct sites (fractional):
K: 0.0000 0.0000 0.0000 x2  4 K 3.29, 8 As 3.35-3.59
Cd: 0.0000 0.0000 0.5000 x2  8 As 2.90-3.18
As: 0.0000 0.5000 0.2841 x4  4 Cd 2.90-3.18

Summary:
The value obtained for the formation energy is 0.17 eV per formula unit.